CsBiI2O | PBE | relaxed

As for the offset from the most stable computed form: 1217 meV per atom. As for the formation energy (no corrections): 27.7 kJ per mole of atoms. The value obtained for the total magnetization is 0.0 μB per formula unit.

The structure belongs to space group P4/mmm (No. 123); the cell edges are 6.8419, 6.8419 and 4.3372 Å and the angles 90.00°, 90.00° and 90.00°. Symmetry generates all atoms from Cs at (0.0000, 0.0000, 0.0000), Bi at (0.5000, 0.5000, 0.5000), I at (0.0000, 0.5000, 0.0000) and O at (0.0000, 0.0000, 0.5000).